A plane-wave DFT calculation with PBE was carried out for a relaxed structure of LaPm6Cd2.

Values from the calculation:
Its density of states at the Fermi level is 1.12 states/eV/atom. The calculated formation energy is -1.20 eV per formula unit.

```
9
Lattice="6.4811 -1.9230 0.0000 6.4811 1.9230 0.0000 -3.8432 0.0000 11.6392" Properties=species:S:1:pos:R:3 pbc="T T T"
La 0.0000 0.0000 0.0000
Pm -1.0722 0.0000 3.9508
Pm 2.4580 0.0000 4.8367
Pm 3.6105 0.0000 1.4461
Pm 5.5085 0.0000 10.1931
Pm 6.6609 0.0000 6.8026
Pm 10.1911 0.0000 7.6884
Cd 1.5051 0.0000 9.1586
Cd 7.6138 0.0000 2.4806
```

A plane-wave DFT calculation with PBE was carried out for a relaxed structure of Ce2Co7B3.

Values from the calculation:
Its density of states at the Fermi level is 0.87 states/eV/atom. The calculated formation energy is -4.92 eV per formula unit.

```
24
Lattice="5.0185 0.0000 0.0000 -2.5093 4.3462 0.0000 0.0000 0.0000 12.8849" Properties=species:S:1:pos:R:3 pbc="T T T"
Ce 0.0000 0.0000 0.0000
Ce 0.0000 0.0000 3.1251
Ce 0.0000 0.0000 6.4425
Ce 0.0000 0.0000 9.7599
Co -1.2546 2.1731 1.4946
Co -1.2546 2.1731 4.4245
Co -1.2546 2.1731 8.4604
Co -1.2546 2.1731 11.3904
Co 0.0000 2.8974 6.4425
Co 2.5093 0.0000 1.4946
Co 2.5093 0.0000 4.4245
Co 2.5093 0.0000 8.4604
Co 2.5093 0.0000 11.3904
Co 1.2546 2.1731 1.4946
Co 1.2546 2.1731 4.4245
Co 1.2546 2.1731 8.4604
Co 1.2546 2.1731 11.3904
Co 2.5093 1.4487 6.4425
B 0.0000 2.8974 0.0000
B 0.0000 2.8974 2.9812
B 0.0000 2.8974 9.9037
B 2.5093 1.4487 0.0000
B 2.5093 1.4487 2.9812
B 2.5093 1.4487 9.9037
```

In order of appearance, calculated density = 7.06, 8.57 g/cm³.